Entry from Alexandria via LeMat-Bulk: CsSrCa2Ni after structural relaxation (PBE).

a = 5.8596 Å, b = 5.8596 Å, c = 6.0700 Å
α = 90.00°, β = 90.00°, γ = 90.00°
Last column: nearest neighbours and their distance in Å.
Space group P4/mmm (No. 123)
Inequivalent atoms, fractional coordinates:
Cs 0.0000 0.0000 0.0000 (multiplicity 1)  4 Sr 4.14, 8 Ca 4.22
Sr 0.5000 0.5000 0.0000 (multiplicity 1)  2 Ni 3.04
Ca 0.0000 0.5000 0.5000 (multiplicity 2)  2 Ni 2.93
Ni 0.5000 0.5000 0.5000 (multiplicity 1)  4 Ca 2.93, 2 Sr 3.04

Formation energy from the elements in kJ/mol of atoms: 10
Calculated total energy in eV/cell: -11.797
Calculated volume in A^3/atom: 41.68